SrTaRe2: optimized geometry, PBE.

Unit cell a=9.450 b=9.450 c=9.450 alpha=18.98 beta=18.98 gamma=18.98
Positions (direct):
Sr  0.000  0.000  0.000
Ta  0.500  0.500  0.500
Re  0.238  0.238  0.238
Re  0.762  0.762  0.762

Results
Size of the total moment in μB/atom: 0.000
E above lowest polymorph in meV per atom: 191
SG: R-3m, No. 166